Entry 1:
This record from Alexandria via LeMat-Bulk describes an optimized crystal structure of PrNd2DyY2. The functional is PBE-GGA.

Unit cell a=6.690 b=17.913 c=3.438 alpha=90.00 beta=90.00 gamma=90.00
Space group Pnnm (No. 58)
Asymmetric unit:
Pr1 0.000 0.000 0.000 x2
Nd1 0.225 0.350 0.500 x4
Dy1 0.000 0.500 0.000 x2
Y1 0.229 0.181 0.000 x4


Entry 2:
This record from Alexandria via LeMat-Bulk describes an optimized crystal structure of Pr2NdDyY. The functional is PBE-GGA.

Unit cell a=8.524 b=11.784 c=7.338 alpha=90.00 beta=90.00 gamma=90.00
Space group Cmcm (No. 63)
Asymmetric unit:
Pr1 0.192 0.000 0.000 x8
Nd1 0.000 0.223 0.250 x4
Dy1 0.000 0.236 0.750 x4
Y1 0.000 0.488 0.250 x4


Entry 3:
This record from Alexandria via LeMat-Bulk describes an optimized crystal structure of Pr3NdDy2Y6. The functional is PBE-GGA.

Unit cell a=6.266 b=10.849 c=11.904 alpha=90.00 beta=100.07 gamma=90.00
Space group C2/m (No. 12)
Asymmetric unit:
Pr1 0.000 0.000 0.000 x2
Pr2 0.000 0.333 0.000 x4
Nd1 0.000 0.500 0.500 x2
Dy1 0.000 0.167 0.500 x4
Y1 0.249 0.000 0.747 x4
Y2 0.249 0.333 0.747 x8


Entry 4:
This record from Alexandria via LeMat-Bulk describes an optimized crystal structure of Pr4Nd2Dy2Y. The functional is PBE-GGA.

Unit cell a=15.546 b=5.183 c=8.148 alpha=90.00 beta=108.61 gamma=90.00
Space group C2/m (No. 12)
Asymmetric unit:
Pr1 0.055 0.000 0.331 x4
Pr2 0.222 0.500 0.330 x4
Nd1 0.112 0.500 0.670 x4
Dy1 0.167 0.000 0.000 x4
Y1 0.000 0.500 0.000 x2


Entry 5:
This record from Alexandria via LeMat-Bulk describes an optimized crystal structure of Pr6Nd3Dy2Y. The functional is PBE-GGA.

Unit cell a=6.369 b=11.039 c=12.084 alpha=90.00 beta=100.13 gamma=90.00
Space group C2/m (No. 12)
Asymmetric unit:
Pr1 0.249 0.000 0.246 x4
Pr2 0.250 0.167 0.754 x8
Nd1 0.000 0.000 0.500 x2
Nd2 0.000 0.333 0.500 x4
Dy1 0.000 0.167 0.000 x4
Y1 0.000 0.500 0.000 x2


Entry 6:
This record from Alexandria via LeMat-Bulk describes an optimized crystal structure of Pr3Nd6Dy2Y. The functional is PBE-GGA.

Unit cell a=6.351 b=11.000 c=12.097 alpha=90.00 beta=100.06 gamma=90.00
Space group C2/m (No. 12)
Asymmetric unit:
Pr1 0.000 0.000 0.000 x2
Pr2 0.000 0.333 0.000 x4
Nd1 0.248 0.000 0.745 x4
Nd2 0.249 0.333 0.745 x8
Dy1 0.000 0.167 0.500 x4
Y1 0.000 0.500 0.500 x2


Entry 7:
This record from Alexandria via LeMat-Bulk describes an optimized crystal structure of Pr2NdDy2Y6. The functional is PBE-GGA.

Unit cell a=5.723 b=12.112 c=10.738 alpha=90.00 beta=90.08 gamma=90.00
Space group C2/m (No. 12)
Asymmetric unit:
Pr1 0.000 0.135 0.000 x4
Nd1 0.000 0.500 0.500 x2
Dy1 0.000 0.203 0.500 x4
Y1 0.001 0.000 0.292 x4
Y2 0.001 0.347 0.212 x8


Entry 8:
This record from Alexandria via LeMat-Bulk describes an optimized crystal structure of Pr6NdDyY2. The functional is PBE-GGA.

Unit cell a=9.435 b=15.443 c=9.744 alpha=90.00 beta=97.26 gamma=90.00
Space group C2/c (No. 15)
Asymmetric unit:
Pr1 0.064 0.174 0.443 x8
Pr2 0.095 0.390 0.618 x8
Pr3 0.212 0.224 0.814 x8
Nd1 0.000 0.408 0.250 x4
Dy1 0.000 0.033 0.750 x4
Y1 0.244 0.047 0.048 x8


Entry 9:
This record from Alexandria via LeMat-Bulk describes an optimized crystal structure of Pr2NdDy3Y6. The functional is PBE-GGA.

Unit cell a=6.240 b=10.802 c=11.877 alpha=90.00 beta=100.04 gamma=90.00
Space group C2/m (No. 12)
Asymmetric unit:
Pr1 0.000 0.167 0.000 x4
Nd1 0.000 0.500 0.000 x2
Dy1 0.000 0.000 0.500 x2
Dy2 0.000 0.333 0.500 x4
Y1 0.248 0.500 0.746 x4
Y2 0.249 0.167 0.746 x8


Entry 10:
This record from Alexandria via LeMat-Bulk describes an optimized crystal structure of PrNd3Dy6Y2. The functional is PBE-GGA.

Unit cell a=6.236 b=10.797 c=11.898 alpha=90.00 beta=100.02 gamma=90.00
Space group C2/m (No. 12)
Asymmetric unit:
Pr1 0.000 0.000 0.000 x2
Nd1 0.000 0.167 0.500 x4
Nd2 0.000 0.500 0.500 x2
Dy1 0.250 0.000 0.751 x4
Dy2 0.250 0.167 0.249 x8
Y1 0.000 0.333 0.000 x4


Entry 11:
This record from Alexandria via LeMat-Bulk describes an optimized crystal structure of Pr2Nd2Dy2Y. The functional is PBE-GGA.

Unit cell a=5.7769 b=5.7769 c=24.8569 alpha=90.00 beta=90.00 gamma=120.00
Space group R-3m (No. 166, hexagonal axes)
Asymmetric unit:
Pr1 0.0000 0.0000 0.1389 x6
Nd1 0.0000 0.0000 0.2839 x6
Dy1 0.0000 0.0000 0.4279 x6
Y1 0.0000 0.0000 0.0000 x3


Entry 12:
This record from Alexandria via LeMat-Bulk describes an optimized crystal structure of Pr4Nd2DyY2. The functional is PBE-GGA.

Unit cell a=15.562 b=5.186 c=8.153 alpha=90.00 beta=108.60 gamma=90.00
Space group C2/m (No. 12)
Asymmetric unit:
Pr1 0.055 0.000 0.331 x4
Pr2 0.222 0.500 0.331 x4
Nd1 0.111 0.500 0.669 x4
Dy1 0.000 0.500 0.000 x2
Y1 0.166 0.000 0.000 x4


Entry 13:
This record from Alexandria via LeMat-Bulk describes an optimized crystal structure of PrNdDyY3. The functional is PBE-GGA.

Unit cell a=5.107 b=15.315 c=10.214 alpha=90.00 beta=90.00 gamma=90.00
Space group Cmcm (No. 63)
Asymmetric unit:
Pr1 0.000 0.001 0.250 x4
Nd1 0.000 0.500 0.000 x4
Dy1 0.000 0.332 0.750 x4
Y1 0.000 0.168 0.000 x8
Y2 0.000 0.332 0.250 x4


Entry 14:
This record from Alexandria via LeMat-Bulk describes an optimized crystal structure of PrNd5DyY2. The functional is PBE-GGA.

Unit cell a=5.714 b=20.486 c=10.805 alpha=90.00 beta=90.00 gamma=90.00
Space group Cmc2_1 (No. 36)
Asymmetric unit:
Pr1 0.000 0.204 0.000 x4
Nd1 0.000 0.018 0.016 x4
Nd2 0.000 0.283 0.299 x4
Nd3 0.000 0.296 0.694 x4
Nd4 0.000 0.395 0.019 x4
Nd5 0.000 0.478 0.735 x4
Dy1 0.000 0.411 0.450 x4
Y1 0.000 0.110 0.729 x4
Y2 0.000 0.118 0.314 x4


Entry 15:
This record from Alexandria via LeMat-Bulk describes an optimized crystal structure of Pr6NdDy2Y3. The functional is PBE-GGA.

Unit cell a=6.338 b=10.980 c=11.977 alpha=90.00 beta=100.13 gamma=90.00
Space group C2/m (No. 12)
Asymmetric unit:
Pr1 0.249 0.167 0.250 x8
Pr2 0.250 0.000 0.750 x4
Nd1 0.000 0.500 0.500 x2
Dy1 0.000 0.167 0.500 x4
Y1 0.000 0.000 0.000 x2
Y2 0.000 0.333 0.000 x4


Entry 16:
This record from Alexandria via LeMat-Bulk describes an optimized crystal structure of Pr2NdDyY2. The functional is PBE-GGA.

Unit cell a=6.712 b=17.903 c=3.440 alpha=90.00 beta=90.00 gamma=90.00
Space group Pnnm (No. 58)
Asymmetric unit:
Pr1 0.227 0.151 0.000 x4
Nd1 0.000 0.500 0.500 x2
Dy1 0.000 0.000 0.500 x2
Y1 0.232 0.321 0.500 x4


Entry 17:
This record from Alexandria via LeMat-Bulk describes an optimized crystal structure of Pr5Nd2DyY. The functional is PBE-GGA.

Unit cell a=8.711 b=8.711 c=16.898 alpha=90.00 beta=90.00 gamma=90.00
Space group I4/mcm (No. 140)
Asymmetric unit:
Pr1 0.000 0.000 0.000 x4
Pr2 0.218 0.282 0.143 x16
Nd1 0.122 0.378 0.500 x8
Dy1 0.000 0.000 0.250 x4
Y1 0.000 0.500 0.250 x4


Entry 18:
This record from Alexandria via LeMat-Bulk describes an optimized crystal structure of Pr2Nd5DyY. The functional is PBE-GGA.

Unit cell a=8.702 b=8.702 c=16.746 alpha=90.00 beta=90.00 gamma=90.00
Space group I4/mcm (No. 140)
Asymmetric unit:
Pr1 0.121 0.379 0.000 x8
Nd1 0.000 0.000 0.000 x4
Nd2 0.218 0.282 0.357 x16
Dy1 0.000 0.000 0.250 x4
Y1 0.000 0.500 0.250 x4


Entry 19:
This record from Alexandria via LeMat-Bulk describes an optimized crystal structure of PrNd6Dy2Y3. The functional is PBE-GGA.

Unit cell a=6.309 b=10.926 c=11.969 alpha=90.00 beta=100.09 gamma=90.00
Space group C2/m (No. 12)
Asymmetric unit:
Pr1 0.000 0.000 0.000 x2
Nd1 0.249 0.333 0.749 x8
Nd2 0.250 0.000 0.749 x4
Dy1 0.000 0.334 0.000 x4
Y1 0.000 0.167 0.500 x4
Y2 0.000 0.500 0.500 x2


Entry 20:
This record from Alexandria via LeMat-Bulk describes an optimized crystal structure of Pr2NdDy5Y. The functional is PBE-GGA.

Unit cell a=8.748 b=8.748 c=15.702 alpha=90.00 beta=90.00 gamma=90.00
Space group I4/mcm (No. 140)
Asymmetric unit:
Pr1 0.118 0.382 0.000 x8
Nd1 0.000 0.000 0.250 x4
Dy1 0.000 0.000 0.000 x4
Dy2 0.212 0.288 0.361 x16
Y1 0.000 0.500 0.250 x4


no.,total energy (eV/atom)
1,-5.057
2,-4.675
3,-5.577
4,-4.905
5,-4.875
6,-4.870
7,-5.515
8,-4.984
9,-5.559
10,-4.953
11,-4.843
12,-5.113
13,-5.569
14,-4.989
15,-5.161
16,-5.061
17,-4.674
18,-4.674
19,-5.154
20,-4.606